Pu8Mn5Si | PBE-GGA | optimized geometry

Summary:
The uncorrected formation energy comes out at 0.18 eV per atom. The size of the total moment comes out at 9.1 Bohr magnetons per cell. The total energy comes out at -163.384 eV for the cell shown. The value obtained for the volume is 18.07 Å³ per atom.

a = 6.9011 Å, b = 6.9011 Å, c = 6.9011 Å
α = 109.57°, β = 109.57°, γ = 109.28°
With the nearest neighbours (Å) after each atom.
Atoms (fractional coordinates):
Pu  0.0213  0.1238  0.7750  3 Pu 2.75-2.97, 1 Si 2.77, 3 Mn 2.87-3.06
Pu  0.2347  0.3911  0.5736  5 Mn 2.53-2.80, 1 Pu 2.75
Pu  0.3390  0.7653  0.1564  5 Mn 2.53-2.80, 1 Pu 2.75
Pu  0.3488  0.2463  0.2250  3 Pu 2.75-2.97, 1 Si 2.77, 3 Mn 2.87-3.06
Pu  0.6089  0.1826  0.8436  5 Mn 2.53-2.80, 1 Pu 2.75
Pu  0.7537  0.9787  0.1025  3 Pu 2.75-2.97, 1 Si 2.77, 3 Mn 2.87-3.06
Pu  0.8174  0.6610  0.4264  5 Mn 2.53-2.80, 1 Pu 2.75
Pu  0.8762  0.6512  0.8975  3 Pu 2.75-2.97, 1 Si 2.77, 3 Mn 2.87-3.06
Mn  0.0515  0.4876  0.2609  4 Pu 2.53-2.80, 3 Mn 2.65-2.79
Mn  0.2094  0.9485  0.4361  4 Pu 2.53-2.80, 3 Mn 2.65-2.79
Mn  0.2268  0.7906  0.7391  4 Pu 2.53-2.80, 3 Mn 2.65-2.79
Mn  0.5000  0.5000  0.0000  4 Pu 2.56
Mn  0.5124  0.7732  0.5639  4 Pu 2.53-2.80, 3 Mn 2.65-2.79
Si  0.7500  0.2500  0.5000  8 Pu 2.77-2.96

Ca3HN | PBE-GGA | optimized geometry

Summary:
The size of the total moment comes out at 0.0 Bohr magnetons per cell. The total energy comes out at -18.584 eV for the cell shown. The value obtained for the volume is 22.86 Å³ per atom.

a = 4.8529 Å, b = 4.8529 Å, c = 4.8529 Å
α = 90.00°, β = 90.00°, γ = 90.00°
With the nearest neighbours (Å) after each atom.
Atoms (fractional coordinates):
Ca  0.0000  0.0000  0.5000  2 N 2.43
Ca  0.0000  0.5000  0.0000  2 N 2.43
Ca  0.5000  0.0000  0.0000  2 N 2.43
H  0.5000  0.5000  0.5000  12 Ca 3.43
N  0.0000  0.0000  0.0000  6 Ca 2.43

CdCo2Br | PBE-GGA | optimized geometry

Summary:
The uncorrected formation energy comes out at 0.73 eV per atom. The size of the total moment comes out at 6.3 Bohr magnetons per cell. The total energy comes out at -27.773 eV for the cell shown. The value obtained for the volume is 16.27 Å³ per atom.

a = 6.3898 Å, b = 6.4045 Å, c = 3.1811 Å
α = 90.00°, β = 90.00°, γ = 90.00°
With the nearest neighbours (Å) after each atom.
Atoms (fractional coordinates):
Cd  0.0000  0.0000  0.0000  8 Co 2.76
Cd  0.5000  0.5000  0.0000  8 Co 2.76
Co  0.2500  0.2500  0.5000  4 Cd 2.76, 4 Br 2.76
Co  0.2500  0.7500  0.5000  4 Cd 2.76, 4 Br 2.76
Co  0.7500  0.2500  0.5000  4 Cd 2.76, 4 Br 2.76
Co  0.7500  0.7500  0.5000  4 Cd 2.76, 4 Br 2.76
Br  0.0000  0.5000  0.0000  8 Co 2.76
Br  0.5000  0.0000  0.0000  8 Co 2.76